w | ! AcEuIr, relaxed, DFT GGA-PBE; values from VASP
&SYSTEM
  ibrav = 0, nat = 3, ntyp = 3
/
ATOMIC_SPECIES
Ac 227.00 Ac.upf
Eu 151.96 Eu.upf
Ir 192.22 Ir.upf
ATOMIC_POSITIONS crystal
Ac 0.000 0.000 0.000
Eu 0.500 0.500 0.500
Ir 0.750 0.750 0.750
CELL_PARAMETERS angstrom
0.000 3.601 3.601
3.601 0.000 3.601
3.601 3.601 0.000
! **Mass density**: 10.2 g/cm3



x | ! AcEuIr, relaxed, DFT GGA-PBE; values from VASP
&SYSTEM
  ibrav = 0, nat = 3, ntyp = 3
/
ATOMIC_SPECIES
Ac 227.00 Ac.upf
Eu 151.96 Eu.upf
Ir 192.22 Ir.upf
ATOMIC_POSITIONS crystal
Ac 0.000 0.000 0.000
Eu 0.755 0.755 0.000
Ir 0.383 0.383 0.000
CELL_PARAMETERS angstrom
-1.849 1.849 6.936
1.849 -1.849 6.936
1.849 1.849 -6.936
! **Mass density**: 10.0 g/cm3



y | ! AcEuIr, relaxed, DFT GGA-PBE; values from VASP
&SYSTEM
  ibrav = 0, nat = 3, ntyp = 3
/
ATOMIC_SPECIES
Ac 227.00 Ac.upf
Eu 151.96 Eu.upf
Ir 192.22 Ir.upf
ATOMIC_POSITIONS crystal
Ac 0.000 0.000 0.000
Eu 0.667 0.333 0.538
Ir 0.333 0.667 0.772
CELL_PARAMETERS angstrom
4.323 0.000 0.000
-2.162 3.744 0.000
0.000 0.000 6.634
! **Mass density**: 8.8 g/cm3



Which one sits at the top of the stability order? w does.



w | ! AcEu2Ir, relaxed, DFT GGA-PBE; values from VASP
&SYSTEM
  ibrav = 0, nat = 4, ntyp = 3
/
ATOMIC_SPECIES
Ac 227.00 Ac.upf
Eu 151.96 Eu.upf
Ir 192.22 Ir.upf
ATOMIC_POSITIONS crystal
Ac 0.000 0.000 0.000
Eu 0.500 0.500 0.330
Eu 0.500 0.500 0.670
Ir 0.000 0.000 0.500
CELL_PARAMETERS angstrom
3.639 0.000 0.000
0.000 3.639 0.000
0.000 0.000 9.685
! **Mass density**: 9.4 g/cm3



x | ! AcEu2Ir, relaxed, DFT GGA-PBE; values from VASP
&SYSTEM
  ibrav = 0, nat = 4, ntyp = 3
/
ATOMIC_SPECIES
Ac 227.00 Ac.upf
Eu 151.96 Eu.upf
Ir 192.22 Ir.upf
ATOMIC_POSITIONS crystal
Ac 0.000 0.000 0.000
Eu 0.116 0.116 0.116
Eu 0.884 0.884 0.884
Ir 0.500 0.500 0.500
CELL_PARAMETERS angstrom
1.990 1.149 10.896
-1.990 1.149 10.896
0.000 -2.298 10.896
! **Mass density**: 8.0 g/cm3



Which one sits at the top of the stability order? w does.



w | ! KAcEu2, relaxed, DFT GGA-PBE; values from VASP
&SYSTEM
  ibrav = 0, nat = 4, ntyp = 3
/
ATOMIC_SPECIES
K 39.10 K.upf
Ac 227.00 Ac.upf
Eu 151.96 Eu.upf
ATOMIC_POSITIONS crystal
K 0.000 0.000 0.000
Ac 0.000 0.000 0.500
Eu 0.500 0.500 0.279
Eu 0.500 0.500 0.721
CELL_PARAMETERS angstrom
3.952 0.000 0.000
0.000 3.952 0.000
0.000 0.000 12.605
! **Mass density**: 4.8 g/cm3



x | ! KAcEu2, relaxed, DFT GGA-PBE; values from VASP
&SYSTEM
  ibrav = 0, nat = 4, ntyp = 3
/
ATOMIC_SPECIES
K 39.10 K.upf
Ac 227.00 Ac.upf
Eu 151.96 Eu.upf
ATOMIC_POSITIONS crystal
K 0.000 0.000 0.000
Ac 0.500 0.500 0.500
Eu 0.243 0.243 0.243
Eu 0.757 0.757 0.757
CELL_PARAMETERS angstrom
2.003 1.157 13.914
-2.003 1.157 13.914
0.000 -2.313 13.914
! **Mass density**: 4.9 g/cm3



Which one sits at the top of the stability order? x does.



w | ! KAcEu, relaxed, DFT GGA-PBE; values from VASP
&SYSTEM
  ibrav = 0, nat = 3, ntyp = 3
/
ATOMIC_SPECIES
K 39.10 K.upf
Ac 227.00 Ac.upf
Eu 151.96 Eu.upf
ATOMIC_POSITIONS crystal
K 0.000 0.000 0.000
Ac 0.320 0.320 0.000
Eu 0.680 0.680 0.000
CELL_PARAMETERS angstrom
-1.972 1.972 9.746
1.972 -1.972 9.746
1.972 1.972 -9.746
! **Mass density**: 4.6 g/cm3



x | ! KAcEu, relaxed, DFT GGA-PBE; values from VASP
&SYSTEM
  ibrav = 0, nat = 3, ntyp = 3
/
ATOMIC_SPECIES
K 39.10 K.upf
Ac 227.00 Ac.upf
Eu 151.96 Eu.upf
ATOMIC_POSITIONS crystal
K 0.000 0.000 0.000
Ac 0.333 0.667 0.646
Eu 0.667 0.333 0.355
CELL_PARAMETERS angstrom
4.016 0.000 0.000
-2.008 3.478 0.000
0.000 0.000 10.671
! **Mass density**: 4.7 g/cm3



Which one sits at the top of the stability order? x does.



w | ! Ac2LaEu, relaxed, DFT GGA-PBE; values from VASP
&SYSTEM
  ibrav = 0, nat = 4, ntyp = 3
/
ATOMIC_SPECIES
Ac 227.00 Ac.upf
La 138.91 La.upf
Eu 151.96 Eu.upf
ATOMIC_POSITIONS crystal
Ac 0.000 0.000 0.240
Ac 0.000 0.000 0.760
La 0.500 0.500 0.000
Eu 0.500 0.500 0.500
CELL_PARAMETERS angstrom
3.925 0.000 0.000
0.000 3.925 0.000
0.000 0.000 10.976
! **Mass density**: 7.3 g/cm3



x | ! Ac2LaEu, relaxed, DFT GGA-PBE; values from VASP
&SYSTEM
  ibrav = 0, nat = 4, ntyp = 3
/
ATOMIC_SPECIES
Ac 227.00 Ac.upf
La 138.91 La.upf
Eu 151.96 Eu.upf
ATOMIC_POSITIONS crystal
Ac 0.000 0.500 0.000
Ac 0.500 0.000 0.000
La 0.000 0.000 0.500
Eu 0.500 0.500 0.500
CELL_PARAMETERS angstrom
5.542 0.000 0.000
0.000 5.542 0.000
0.000 0.000 5.420
! **Mass density**: 7.4 g/cm3



Which one sits at the top of the stability order? w does.



w | ! Ac2LaEu, relaxed, DFT GGA-PBE; values from VASP
&SYSTEM
  ibrav = 0, nat = 4, ntyp = 3
/
ATOMIC_SPECIES
Ac 227.00 Ac.upf
La 138.91 La.upf
Eu 151.96 Eu.upf
ATOMIC_POSITIONS crystal
Ac 0.248 0.248 0.248
Ac 0.752 0.752 0.752
La 0.500 0.500 0.500
Eu 0.000 0.000 0.000
CELL_PARAMETERS angstrom
1.961 1.132 12.699
-1.961 1.132 12.699
0.000 -2.265 12.699
! **Mass density**: 7.3 g/cm3



x | ! Ac2LaEu, relaxed, DFT GGA-PBE; values from VASP
&SYSTEM
  ibrav = 0, nat = 4, ntyp = 3
/
ATOMIC_SPECIES
Ac 227.00 Ac.upf
La 138.91 La.upf
Eu 151.96 Eu.upf
ATOMIC_POSITIONS crystal
Ac 0.250 0.250 0.250
Ac 0.750 0.750 0.750
La 0.000 0.000 0.000
Eu 0.500 0.500 0.500
CELL_PARAMETERS angstrom
0.000 4.394 4.394
4.394 0.000 4.394
4.394 4.394 0.000
! **Mass density**: 7.3 g/cm3



Which one sits at the top of the stability order? w does.



w | ! AcLaEu2, relaxed, DFT GGA-PBE; values from VASP
&SYSTEM
  ibrav = 0, nat = 4, ntyp = 3
/
ATOMIC_SPECIES
Ac 227.00 Ac.upf
La 138.91 La.upf
Eu 151.96 Eu.upf
ATOMIC_POSITIONS crystal
Ac 0.000 0.000 0.000
La 0.000 0.000 0.500
Eu 0.500 0.500 0.258
Eu 0.500 0.500 0.742
CELL_PARAMETERS angstrom
3.900 0.000 0.000
0.000 3.900 0.000
0.000 0.000 10.829
! **Mass density**: 6.8 g/cm3



x | ! AcLaEu2, relaxed, DFT GGA-PBE; values from VASP
&SYSTEM
  ibrav = 0, nat = 4, ntyp = 3
/
ATOMIC_SPECIES
Ac 227.00 Ac.upf
La 138.91 La.upf
Eu 151.96 Eu.upf
ATOMIC_POSITIONS crystal
Ac 0.000 0.000 0.000
La 0.500 0.500 0.500
Eu 0.248 0.248 0.248
Eu 0.752 0.752 0.752
CELL_PARAMETERS angstrom
1.933 1.116 12.700
-1.933 1.116 12.700
0.000 -2.232 12.700
! **Mass density**: 6.8 g/cm3



y | ! AcLaEu2, relaxed, DFT GGA-PBE; values from VASP
&SYSTEM
  ibrav = 0, nat = 4, ntyp = 3
/
ATOMIC_SPECIES
Ac 227.00 Ac.upf
La 138.91 La.upf
Eu 151.96 Eu.upf
ATOMIC_POSITIONS crystal
Ac 0.000 0.000 0.000
La 0.500 0.500 0.000
Eu 0.000 0.500 0.500
Eu 0.500 0.000 0.500
CELL_PARAMETERS angstrom
6.157 0.000 0.000
0.000 6.157 0.000
0.000 0.000 4.356
! **Mass density**: 6.7 g/cm3



Which one sits at the top of the stability order? x does.



w | ! AcEu2Lu, relaxed, DFT GGA-PBE; values from VASP
&SYSTEM
  ibrav = 0, nat = 4, ntyp = 3
/
ATOMIC_SPECIES
Ac 227.00 Ac.upf
Eu 151.96 Eu.upf
Lu 174.97 Lu.upf
ATOMIC_POSITIONS crystal
Ac 0.000 0.000 0.000
Eu 0.500 0.500 0.268
Eu 0.500 0.500 0.732
Lu 0.000 0.000 0.500
CELL_PARAMETERS angstrom
3.785 0.000 0.000
0.000 3.785 0.000
0.000 0.000 10.785
! **Mass density**: 7.6 g/cm3



x | ! AcEu2Lu, relaxed, DFT GGA-PBE; values from VASP
&SYSTEM
  ibrav = 0, nat = 4, ntyp = 3
/
ATOMIC_SPECIES
Ac 227.00 Ac.upf
Eu 151.96 Eu.upf
Lu 174.97 Lu.upf
ATOMIC_POSITIONS crystal
Ac 0.000 0.000 0.000
Eu 0.000 0.500 0.500
Eu 0.500 0.000 0.500
Lu 0.500 0.500 0.000
CELL_PARAMETERS angstrom
5.303 0.000 0.000
0.000 5.303 0.000
0.000 0.000 5.491
! **Mass density**: 7.6 g/cm3



y | ! AcEu2Lu, relaxed, DFT GGA-PBE; values from VASP
&SYSTEM
  ibrav = 0, nat = 4, ntyp = 3
/
ATOMIC_SPECIES
Ac 227.00 Ac.upf
Eu 151.96 Eu.upf
Lu 174.97 Lu.upf
ATOMIC_POSITIONS crystal
Ac 0.000 0.000 0.000
Eu 0.250 0.250 0.250
Eu 0.750 0.750 0.750
Lu 0.500 0.500 0.500
CELL_PARAMETERS angstrom
0.000 4.259 4.259
4.259 0.000 4.259
4.259 4.259 0.000
! **Mass density**: 7.6 g/cm3



Which one sits at the top of the stability order? w does.



w | ! AcEuMg, relaxed, DFT GGA-PBE; values from VASP
&SYSTEM
  ibrav = 0, nat = 3, ntyp = 3
/
ATOMIC_SPECIES
Ac 227.00 Ac.upf
Eu 151.96 Eu.upf
Mg 24.30 Mg.upf
ATOMIC_POSITIONS crystal
Ac 0.000 0.000 0.000
Eu 0.333 0.667 0.433
Mg 0.667 0.333 0.607
CELL_PARAMETERS angstrom
5.833 0.000 0.000
-2.916 5.052 0.000
0.000 0.000 3.739
! **Mass density**: 6.1 g/cm3



x | ! AcEuMg, relaxed, DFT GGA-PBE; values from VASP
&SYSTEM
  ibrav = 0, nat = 3, ntyp = 3
/
ATOMIC_SPECIES
Ac 227.00 Ac.upf
Eu 151.96 Eu.upf
Mg 24.30 Mg.upf
ATOMIC_POSITIONS crystal
Ac 0.000 0.000 0.000
Eu 0.703 0.703 0.000
Mg 0.345 0.345 0.000
CELL_PARAMETERS angstrom
-2.044 2.044 6.628
2.044 -2.044 6.628
2.044 2.044 -6.628
! **Mass density**: 6.0 g/cm3



Which one sits at the top of the stability order? x does.



w | ! AcEu2Mg, relaxed, DFT GGA-PBE; values from VASP
&SYSTEM
  ibrav = 0, nat = 4, ntyp = 3
/
ATOMIC_SPECIES
Ac 227.00 Ac.upf
Eu 151.96 Eu.upf
Mg 24.30 Mg.upf
ATOMIC_POSITIONS crystal
Ac 0.000 0.000 0.000
Eu 0.250 0.250 0.250
Eu 0.750 0.750 0.750
Mg 0.500 0.500 0.500
CELL_PARAMETERS angstrom
0.000 4.224 4.224
4.224 0.000 4.224
4.224 4.224 0.000
! **Mass density**: 6.1 g/cm3



x | ! AcEu2Mg, relaxed, DFT GGA-PBE; values from VASP
&SYSTEM
  ibrav = 0, nat = 4, ntyp = 3
/
ATOMIC_SPECIES
Ac 227.00 Ac.upf
Eu 151.96 Eu.upf
Mg 24.30 Mg.upf
ATOMIC_POSITIONS crystal
Ac 0.000 0.000 0.000
Eu 0.000 0.500 0.500
Eu 0.500 0.000 0.500
Mg 0.500 0.500 0.000
CELL_PARAMETERS angstrom
5.248 0.000 0.000
0.000 5.248 0.000
0.000 0.000 5.522
! **Mass density**: 6.1 g/cm3



Which one sits at the top of the stability order? x does.



w | ! AcEu2Mg, relaxed, DFT GGA-PBE; values from VASP
&SYSTEM
  ibrav = 0, nat = 4, ntyp = 3
/
ATOMIC_SPECIES
Ac 227.00 Ac.upf
Eu 151.96 Eu.upf
Mg 24.30 Mg.upf
ATOMIC_POSITIONS crystal
Ac 0.000 0.000 0.000
Eu 0.500 0.500 0.289
Eu 0.500 0.500 0.711
Mg 0.000 0.000 0.500
CELL_PARAMETERS angstrom
3.981 0.000 0.000
0.000 3.981 0.000
0.000 0.000 9.583
! **Mass density**: 6.1 g/cm3



x | ! AcEu2Mg, relaxed, DFT GGA-PBE; values from VASP
&SYSTEM
  ibrav = 0, nat = 4, ntyp = 3
/
ATOMIC_SPECIES
Ac 227.00 Ac.upf
Eu 151.96 Eu.upf
Mg 24.30 Mg.upf
ATOMIC_POSITIONS crystal
Ac 0.000 0.000 0.000
Eu 0.242 0.242 0.242
Eu 0.758 0.758 0.758
Mg 0.500 0.500 0.500
CELL_PARAMETERS angstrom
1.926 1.112 12.095
-1.926 1.112 12.095
0.000 -2.224 12.095
! **Mass density**: 5.9 g/cm3



Which one sits at the top of the stability order? w does.



w | ! AcEuN, relaxed, DFT GGA-PBE; values from VASP
&SYSTEM
  ibrav = 0, nat = 3, ntyp = 3
/
ATOMIC_SPECIES
Ac 227.00 Ac.upf
Eu 151.96 Eu.upf
N 14.01 N.upf
ATOMIC_POSITIONS crystal
Ac 0.000 0.000 0.000
Eu 0.500 0.500 0.500
N 0.250 0.250 0.250
CELL_PARAMETERS angstrom
0.000 3.250 3.250
3.250 0.000 3.250
3.250 3.250 0.000
! **Mass density**: 9.5 g/cm3



x | ! AcEuN, relaxed, DFT GGA-PBE; values from VASP
&SYSTEM
  ibrav = 0, nat = 3, ntyp = 3
/
ATOMIC_SPECIES
Ac 227.00 Ac.upf
Eu 151.96 Eu.upf
N 14.01 N.upf
ATOMIC_POSITIONS crystal
Ac 0.000 0.000 0.000
Eu 0.464 0.464 0.000
N 0.730 0.730 0.000
CELL_PARAMETERS angstrom
-2.637 2.637 4.010
2.637 -2.637 4.010
2.637 2.637 -4.010
! **Mass density**: 5.9 g/cm3



Which one sits at the top of the stability order? w does.



w | ! NaAcEu2, relaxed, DFT GGA-PBE; values from VASP
&SYSTEM
  ibrav = 0, nat = 4, ntyp = 3
/
ATOMIC_SPECIES
Na 22.99 Na.upf
Ac 227.00 Ac.upf
Eu 151.96 Eu.upf
ATOMIC_POSITIONS crystal
Na 0.000 0.000 0.000
Ac 0.500 0.500 0.500
Eu 0.250 0.250 0.250
Eu 0.750 0.750 0.750
CELL_PARAMETERS angstrom
0.000 4.401 4.401
4.401 0.000 4.401
4.401 4.401 0.000
! **Mass density**: 5.4 g/cm3



x | ! NaAcEu2, relaxed, DFT GGA-PBE; values from VASP
&SYSTEM
  ibrav = 0, nat = 4, ntyp = 3
/
ATOMIC_SPECIES
Na 22.99 Na.upf
Ac 227.00 Ac.upf
Eu 151.96 Eu.upf
ATOMIC_POSITIONS crystal
Na 0.000 0.000 0.000
Ac 0.500 0.500 0.500
Eu 0.250 0.250 0.250
Eu 0.750 0.750 0.750
CELL_PARAMETERS angstrom
1.950 1.126 12.933
-1.950 1.126 12.933
0.000 -2.251 12.933
! **Mass density**: 5.4 g/cm3



y | ! NaAcEu2, relaxed, DFT GGA-PBE; values from VASP
&SYSTEM
  ibrav = 0, nat = 4, ntyp = 3
/
ATOMIC_SPECIES
Na 22.99 Na.upf
Ac 227.00 Ac.upf
Eu 151.96 Eu.upf
ATOMIC_POSITIONS crystal
Na 0.000 0.000 0.000
Ac 0.500 0.500 0.000
Eu 0.000 0.500 0.500
Eu 0.500 0.000 0.500
CELL_PARAMETERS angstrom
6.413 0.000 0.000
0.000 6.413 0.000
0.000 0.000 4.114
! **Mass density**: 5.4 g/cm3



Which one sits at the top of the stability order? x does.